! Tm3Tl2O GGA-PBE optimized geometry; values from VASP
&SYSTEM
  ibrav = 0, nat = 12, ntyp = 3
/
ATOMIC_SPECIES
Tm 168.93 Tm.upf
Tl 204.38 Tl.upf
O 16.00 O.upf
CELL_PARAMETERS angstrom
6.8770 -3.1707 0.0000
6.8770 3.1707 0.0000
-1.0562 0.0000 6.7305
ATOMIC_POSITIONS crystal
Tm 0.0909 0.9091 0.7500
Tm 0.2937 0.4681 0.3580
Tm 0.4681 0.2937 0.8580
Tm 0.5319 0.7063 0.1420
Tm 0.7063 0.5319 0.6420
Tm 0.9091 0.0909 0.2500
Tl 0.1261 0.2443 0.0375
Tl 0.2443 0.1261 0.5375
Tl 0.7557 0.8739 0.4625
Tl 0.8739 0.7557 0.9625
O 0.4308 0.5692 0.7500
O 0.5692 0.4308 0.2500
! * electronic total energy: -4.937 eV/atom
! * theoretical density: 10.54 g/cm3
! * space group: C2/c
! * total moment: 0.00 μB per cell
! * D(E_F): 3.38 states/eV/f.u.